1.
## AsHPtBr2 (GGA-PBEsol)

Data for a relaxed structure of AsHPtBr2. Values from VASP.

Cell and atoms, written as Quantum ESPRESSO input:
```
&SYSTEM
  ibrav = 0, nat = 5, ntyp = 4
/
ATOMIC_SPECIES
H 1.01 H.upf
Br 79.90 Br.upf
Pt 195.08 Pt.upf
As 74.92 As.upf
CELL_PARAMETERS angstrom
-0.0365 1.2285 4.4448
-5.2558 -0.6081 0.1249
0.6193 -5.0648 1.4049
ATOMIC_POSITIONS angstrom
H -2.3365 -2.2222 2.9873
Br 0.3097 -2.5324 0.7025
Pt 0.0000 0.0000 0.0000
As -0.0182 0.6142 2.2224
Br -2.6279 -0.3040 0.0625
```


2.
## As2HPtBr (GGA-PBEsol)

Data for a relaxed structure of As2HPtBr. Values from VASP.

Cell and atoms, written as Quantum ESPRESSO input:
```
&SYSTEM
  ibrav = 0, nat = 5, ntyp = 4
/
ATOMIC_SPECIES
H 1.01 H.upf
As 74.92 As.upf
Pt 195.08 Pt.upf
Br 79.90 Br.upf
CELL_PARAMETERS angstrom
4.7608 0.0000 0.0000
0.0000 4.7608 0.0000
0.0000 0.0000 5.4775
ATOMIC_POSITIONS angstrom
H 2.3804 2.3804 2.7387
As 0.0000 2.3804 0.0000
Pt 0.0000 0.0000 0.0000
As 2.3804 0.0000 0.0000
Br 0.0000 0.0000 2.7387
```


3.
## AsHSeBr2 (GGA-PBEsol)

Data for a relaxed structure of AsHSeBr2. Values from VASP.

Cell and atoms, written as Quantum ESPRESSO input:
```
&SYSTEM
  ibrav = 0, nat = 5, ntyp = 4
/
ATOMIC_SPECIES
H 1.01 H.upf
As 74.92 As.upf
Br 79.90 Br.upf
Se 78.96 Se.upf
CELL_PARAMETERS angstrom
4.9647 0.0000 0.0000
0.0000 5.2553 0.0000
0.0000 0.0000 5.2553
ATOMIC_POSITIONS angstrom
H 2.4823 2.6277 2.6277
As 0.0000 0.0000 0.0000
Br 0.0000 2.6277 0.0000
Se 2.4823 0.0000 0.0000
Br 0.0000 0.0000 2.6277
```


4.
! GGA-PBEsol SiAs2HBr, optimized geometry; values from VASP
! * relative energy among the computed polymorphs: 372 meV per atom
&SYSTEM
  ibrav = 0, nat = 5, ntyp = 4
/
ATOMIC_SPECIES
As 74.92 As.upf
H 1.01 H.upf
Si 28.09 Si.upf
Br 79.90 Br.upf
CELL_PARAMETERS angstrom
4.7071 0.0000 0.0000
0.0000 4.7071 0.0000
0.0000 0.0000 5.2191
ATOMIC_POSITIONS angstrom
As 0.0000 2.3536 0.0000
H 2.3536 2.3536 2.6095
Si 0.0000 0.0000 0.0000
Br 0.0000 0.0000 2.6095
As 2.3536 0.0000 0.0000


5.
! GGA-PBEsol SiAs2HBr, optimized geometry; values from VASP
! * relative energy among the computed polymorphs: 0 meV per atom
&SYSTEM
  ibrav = 0, nat = 5, ntyp = 4
/
ATOMIC_SPECIES
As 74.92 As.upf
Br 79.90 Br.upf
H 1.01 H.upf
Si 28.09 Si.upf
CELL_PARAMETERS angstrom
-2.0694 -2.6216 2.0828
3.3344 -1.8356 1.0026
0.4294 3.2418 4.5071
ATOMIC_POSITIONS angstrom
As -1.0347 -1.3108 1.0414
As 1.6672 -0.9178 0.5013
Br 0.2147 1.6209 2.2536
H 0.0000 0.0000 0.0000
Si 0.8472 -0.6077 3.7962


6.
## TcAs2HBr (GGA-PBEsol)

Data for a relaxed structure of TcAs2HBr. Values from VASP.

Cell and atoms, written as Quantum ESPRESSO input:
```
&SYSTEM
  ibrav = 0, nat = 5, ntyp = 4
/
ATOMIC_SPECIES
As 74.92 As.upf
Br 79.90 Br.upf
Tc 98.00 Tc.upf
H 1.01 H.upf
CELL_PARAMETERS angstrom
-2.6675 2.5832 -2.7996
-3.7562 -2.3520 1.4088
-0.7394 3.5829 4.0104
ATOMIC_POSITIONS angstrom
As -1.8781 -1.1760 0.7044
Br -0.3697 1.7914 2.0052
Tc 0.0000 0.0000 0.0000
H -3.5815 1.9070 1.3098
As -1.3338 1.2916 -1.3998
```


7.
! GGA-PBEsol HfAsBr2N, optimized geometry; values from VASP
! * raw formation energy: 0.628 eV/atom
&SYSTEM
  ibrav = 0, nat = 5, ntyp = 4
/
ATOMIC_SPECIES
N 14.01 N.upf
As 74.92 As.upf
Br 79.90 Br.upf
Hf 178.49 Hf.upf
CELL_PARAMETERS angstrom
-0.5444 -4.9317 -1.5129
-0.7505 -1.4331 4.9416
-5.1161 0.7375 -0.5631
ATOMIC_POSITIONS angstrom
N -3.2055 -2.8137 1.4328
As -0.2722 -2.4659 -0.7565
Br -2.5581 0.3687 -0.2815
Br -0.3752 -0.7165 2.4708
Hf 0.0000 0.0000 0.0000


8.
! GGA-PBEsol HfAs2PbBr, optimized geometry; values from VASP
! * relative energy among the computed polymorphs: 1206 meV per atom
! * raw formation energy: 1.026 eV/atom
&SYSTEM
  ibrav = 0, nat = 5, ntyp = 4
/
ATOMIC_SPECIES
Br 79.90 Br.upf
As 74.92 As.upf
Hf 178.49 Hf.upf
Pb 207.20 Pb.upf
CELL_PARAMETERS angstrom
-0.8390 -3.6676 3.6348
-0.9159 -3.5184 -3.7615
5.1052 -1.2453 -0.0782
ATOMIC_POSITIONS angstrom
Br 2.5526 -0.6227 -0.0391
As -0.4579 -1.7592 -1.8808
Hf 1.6752 -4.2156 -0.1025
Pb 0.0000 0.0000 0.0000
As -0.4195 -1.8338 1.8174


| no. | total DFT energy (no corrections) (eV per atom) | mass density (g cm⁻³) |
| --- | --- | --- |
| 1 | -3.176 | 5.54 |
| 2 | -3.568 | 5.70 |
| 3 | -2.640 | 3.81 |
| 4 | -3.254 | 3.72 |
| 5 | -3.626 | 4.98 |
| 6 | -4.553 | 4.65 |
| 7 | -4.948 | 5.06 |
| 8 | -4.291 | 7.11 |